# 1
Computed, not measured: a geometry-optimized Pr2AgI structure at the PBE-GGA level of DFT.

Calculated values
As for the space-group type: R-3m, No. 166. As for the total DFT energy (no corrections): -16.0 eV per cell. For the volume, the calculation gives 32.5 A^3/atom. The density comes out at 6.6 Mg/m³. For the energy relative to the lowest polymorph listed for this composition, the calculation gives 0.000 eV/atom.

```
4
Lattice="-0.591 3.176 -3.023 -4.090 1.133 -1.247 -1.803 6.697 4.151" Properties=species:S:1:pos:R:3 pbc="T T T"
Pr -4.870 8.401 0.066
Pr -1.614 2.605 -0.185
I -3.242 5.503 -0.060
Ag 0.000 0.000 0.000
```


# 2
Computed, not measured: a geometry-optimized PuTlPb structure at the PBE-GGA level of DFT.

Calculated values
As for the space-group type: P3m1, No. 156. The calculation puts the calculated formation energy at 3 kJ/mol of formula units. As for the total DFT energy (no corrections): -20.4 eV per cell. For the volume, the calculation gives 28.5 A^3/atom. The density comes out at 12.7 Mg/m³. For the energy relative to the lowest polymorph listed for this composition, the calculation gives 0.000 eV/atom.

```
3
Lattice="-3.121 -0.168 0.849 1.207 -3.965 3.651 0.132 5.303 1.538" Properties=species:S:1:pos:R:3 pbc="T T T"
Tl -2.616 -0.141 0.711
Pu -0.190 -0.932 3.229
Pb -2.098 2.074 2.946
```


# 3
Computed, not measured: a geometry-optimized LiZrGe2 structure at the PBE-GGA level of DFT.

Calculated values
As for the space-group type: P4/mmm, No. 123. The calculation puts the calculated formation energy at -140 kJ/mol of formula units. As for the total DFT energy (no corrections): -21.1 eV per cell. For the volume, the calculation gives 17.2 A^3/atom. The density comes out at 5.9 Mg/m³. For the energy relative to the lowest polymorph listed for this composition, the calculation gives 0.080 eV/atom.

```
4
Lattice="-0.309 1.262 -3.051 1.376 -2.736 -1.271 -5.646 -2.606 -0.505" Properties=species:S:1:pos:R:3 pbc="T T T"
Ge -4.421 -2.041 -0.396
Ge -1.225 -0.565 -0.110
Li 0.534 -0.737 -2.161
Zr -2.290 -2.040 -2.414
```


# 4
Computed, not measured: a geometry-optimized ZnMo2Au structure at the PBE-GGA level of DFT.

Calculated values
As for the space-group type: P4mm, No. 99. The calculation puts the calculated formation energy at 56 kJ/mol of formula units. As for the total DFT energy (no corrections): -25.6 eV per cell. For the volume, the calculation gives 16.0 A^3/atom. The density comes out at 11.8 Mg/m³.

```
4
Lattice="2.704 0.000 0.000 0.000 2.704 0.000 0.000 0.000 8.735" Properties=species:S:1:pos:R:3 pbc="T T T"
Mo 0.000 0.000 8.719
Mo 1.352 1.352 2.281
Au 1.352 1.352 6.492
Zn 0.000 0.000 4.347
```


# 5
Computed, not measured: a geometry-optimized La2PuZrN4 structure at the PBE-GGA level of DFT.

Calculated values
As for the space-group type: P2/m, No. 10. As for the total DFT energy (no corrections): -77.3 eV per cell. For the volume, the calculation gives 15.5 A^3/atom. The density comes out at 8.9 Mg/m³.

```
8
Lattice="3.498 0.000 0.000 0.000 6.039 0.107 0.000 -2.111 5.846" Properties=species:S:1:pos:R:3 pbc="T T T"
N 0.000 -0.130 4.653
N 1.749 2.982 4.683
N 0.000 4.058 1.300
N 1.749 0.945 1.270
La 0.000 1.964 2.977
La 1.749 -1.056 2.923
Zr 0.000 0.000 0.000
Pu 1.749 3.020 0.053
```


# 6
Computed, not measured: a geometry-optimized Tm12RhPb6 structure at the PBE-GGA level of DFT.

Calculated values
As for the space-group type: R-3, No. 148. The calculation puts the calculated formation energy at -494 kJ/mol of formula units. As for the total DFT energy (no corrections): -88.4 eV per cell. For the volume, the calculation gives 31.2 A^3/atom. The density comes out at 9.4 Mg/m³.

```
19
Lattice="-0.402 -8.210 -2.301 4.771 3.028 -6.397 5.965 -0.528 6.083" Properties=species:S:1:pos:R:3 pbc="T T T"
Pb 4.973 0.834 -2.517
Pb 5.361 -6.544 -0.098
Pb 5.994 -3.108 -5.097
Pb 8.365 -1.245 0.204
Pb 4.340 -2.602 2.482
Pb 1.968 -4.465 -2.820
Tm 3.638 -1.885 -3.203
Tm 5.182 -5.019 -2.788
Tm 8.895 1.563 1.344
Tm 5.152 -0.691 0.172
Tm 6.696 -3.825 0.588
Tm 6.100 -2.934 4.983
Tm 3.721 -8.097 1.990
Tm 4.234 -2.776 -7.598
Tm 1.439 -7.273 -3.959
Tm 3.238 -4.070 -0.013
Tm 7.096 -1.640 -2.603
Tm 6.613 2.388 -4.605
Rh 0.000 0.000 0.000
```


# 7
Computed, not measured: a geometry-optimized Dy2IrRh3 structure at the PBE-GGA level of DFT.

Calculated values
As for the space-group type: R-3m, No. 166. The calculation puts the calculated formation energy at -443 kJ/mol of formula units. As for the total DFT energy (no corrections): -44.7 eV per cell. For the volume, the calculation gives 18.0 A^3/atom. The density comes out at 12.7 Mg/m³. For the energy relative to the lowest polymorph listed for this composition, the calculation gives 0.000 eV/atom.

```
6
Lattice="-4.956 0.816 1.797 1.482 -4.865 -1.611 4.128 0.134 3.395" Properties=species:S:1:pos:R:3 pbc="T T T"
Ir 0.000 0.000 0.000
Rh -0.414 0.475 2.596
Rh 2.064 0.067 1.698
Rh 0.327 -1.958 1.791
Dy 3.301 -2.721 2.420
Dy -2.648 -1.194 1.162
```


# 8
Computed, not measured: a geometry-optimized SmFeGe4 structure at the PBE-GGA level of DFT.

Calculated values
As for the space-group type: C2/c, No. 15. The calculation puts the calculated formation energy at -153 kJ/mol of formula units. As for the total DFT energy (no corrections): -66.5 eV per cell. For the volume, the calculation gives 19.3 A^3/atom. The density comes out at 7.1 Mg/m³.

```
12
Lattice="6.168 -0.003 0.004 0.003 6.679 1.115 -3.087 -1.619 5.349" Properties=species:S:1:pos:R:3 pbc="T T T"
Ge 2.379 1.516 3.139
Ge -0.739 2.520 5.366
Ge 0.734 -0.820 4.809
Ge 2.350 5.877 1.659
Ge 3.789 4.855 3.696
Ge 0.705 3.540 3.329
Ge -0.706 0.202 2.772
Ge 3.822 2.537 1.102
Fe 1.540 -0.811 2.676
Fe -1.542 2.530 3.232
Sm 0.664 1.669 0.279
Sm 2.419 3.387 6.189
```


# 9
Computed, not measured: a geometry-optimized Mg2FeAg2 structure at the PBE-GGA level of DFT.

Calculated values
As for the space-group type: P4/mbm, No. 127. The calculation puts the calculated formation energy at 96 kJ/mol of formula units. As for the total DFT energy (no corrections): -32.7 eV per cell. For the volume, the calculation gives 18.7 A^3/atom. The density comes out at 5.7 Mg/m³.

```
10
Lattice="6.969 0.000 0.000 0.000 6.969 0.000 0.000 0.000 3.851" Properties=species:S:1:pos:R:3 pbc="T T T"
Mg 5.807 2.322 1.926
Mg 2.322 1.162 1.926
Mg 1.162 4.647 1.926
Mg 4.647 5.807 1.926
Fe 3.484 3.484 0.000
Fe 0.000 0.000 0.000
Ag 0.980 2.504 0.000
Ag 2.504 5.989 0.000
Ag 4.464 0.980 0.000
Ag 5.989 4.464 0.000
```


# 10
Computed, not measured: a geometry-optimized LiNdHoBi structure at the PBE-GGA level of DFT.

Calculated values
As for the space-group type: F-43m, No. 216. The calculation puts the calculated formation energy at -125 kJ/mol of formula units. As for the total DFT energy (no corrections): -16.4 eV per cell. For the volume, the calculation gives 27.4 A^3/atom. The density comes out at 7.9 Mg/m³.

```
4
Lattice="-3.265 -0.238 -4.262 0.732 -3.792 -3.737 -3.524 -4.031 -0.464" Properties=species:S:1:pos:R:3 pbc="T T T"
Bi -3.028 -4.030 -4.232
Nd -1.514 -2.015 -2.116
Ho -4.543 -6.045 -6.347
Li 0.000 0.000 0.000
```


# 11
Computed, not measured: a geometry-optimized Cd2MoCl structure at the PBE-GGA level of DFT.

Calculated values
As for the space-group type: I4/mmm, No. 139. As for the total DFT energy (no corrections): -12.0 eV per cell. For the volume, the calculation gives 20.5 A^3/atom. The density comes out at 7.2 Mg/m³. For the energy relative to the lowest polymorph listed for this composition, the calculation gives 0.482 eV/atom.

```
4
Lattice="5.824 0.002 0.000 3.051 4.961 0.000 -4.437 -2.481 2.841" Properties=species:S:1:pos:R:3 pbc="T T T"
Cd 4.437 2.481 0.000
Cd 0.000 0.000 0.000
Cl 1.525 2.480 1.420
Mo 2.912 0.001 1.420
```


# 12
Computed, not measured: a geometry-optimized Al2Ge structure at the PBE-GGA level of DFT.

Calculated values
As for the space-group type: I4/mmm, No. 139. The calculation puts the calculated formation energy at 42 kJ/mol of formula units. As for the total DFT energy (no corrections): -11.7 eV per cell. For the volume, the calculation gives 17.5 A^3/atom. The density comes out at 4.0 Mg/m³.

```
3
Lattice="3.303 0.000 0.000 0.000 3.303 0.000 -1.651 -1.651 4.809" Properties=species:S:1:pos:R:3 pbc="T T T"
Al 0.000 0.000 3.222
Al 1.651 1.651 1.586
Ge 0.000 0.000 0.000
```


# 13
Computed, not measured: a geometry-optimized Sm2Y7Ho4 structure at the PBE-GGA level of DFT.

Calculated values
As for the space-group type: P-1, No. 2. The calculation puts the calculated formation energy at 23 kJ/mol of formula units. As for the total DFT energy (no corrections): -72.8 eV per cell. For the volume, the calculation gives 32.0 A^3/atom. The density comes out at 6.3 Mg/m³.

```
13
Lattice="-6.814 -2.540 6.025 12.355 -3.008 -7.349 4.026 1.840 4.305" Properties=species:S:1:pos:R:3 pbc="T T T"
Sm 2.495 -1.127 5.550
Sm 7.072 -2.580 -2.569
Y 9.715 -2.789 -4.965
Y 10.401 -1.771 -1.618
Y 0.000 0.000 0.000
Y -0.148 -0.918 7.946
Y 5.127 -1.345 3.156
Y -0.834 -1.936 4.599
Y 4.440 -2.363 -0.175
Ho -3.494 -1.728 6.987
Ho 13.061 -1.979 -4.006
Ho 7.770 -1.568 0.785
Ho 1.797 -2.139 2.196
```


# 14
Computed, not measured: a geometry-optimized VGe2Ru structure at the PBE-GGA level of DFT.

Calculated values
As for the space-group type: R3m, No. 160. The calculation puts the calculated formation energy at -32 kJ/mol of formula units. As for the total DFT energy (no corrections): -28.0 eV per cell. For the volume, the calculation gives 16.2 A^3/atom. The density comes out at 7.6 Mg/m³. For the energy relative to the lowest polymorph listed for this composition, the calculation gives 0.057 eV/atom.

```
4
Lattice="4.095 0.000 0.000 2.047 3.546 0.000 2.047 1.182 4.472" Properties=species:S:1:pos:R:3 pbc="T T T"
Ru 6.142 3.546 4.358
V 4.095 2.364 2.413
Ge 2.047 1.182 3.491
Ge 2.047 1.182 0.917
```


# 15
Computed, not measured: a geometry-optimized Cr2Ga2Mo structure at the PBE-GGA level of DFT.

Calculated values
As for the space-group type: P4/mbm, No. 127. The calculation puts the calculated formation energy at 80 kJ/mol of formula units. As for the total DFT energy (no corrections): -70.6 eV per cell. For the volume, the calculation gives 14.1 A^3/atom. The density comes out at 8.0 Mg/m³.

```
10
Lattice="6.785 0.000 0.000 0.000 6.785 0.000 0.000 0.000 3.060" Properties=species:S:1:pos:R:3 pbc="T T T"
Cr 2.249 1.143 1.530
Cr 5.642 2.249 1.530
Cr 4.535 5.642 1.530
Cr 1.143 4.535 1.530
Ga 5.892 4.284 0.000
Ga 4.284 0.892 0.000
Ga 2.500 5.892 0.000
Ga 0.892 2.500 0.000
Mo 0.000 0.000 0.000
Mo 3.392 3.392 0.000
```


# 16
Computed, not measured: a geometry-optimized ZrUH structure at the PBE-GGA level of DFT.

Calculated values
As for the space-group type: Fddd, No. 70. As for the total DFT energy (no corrections): -90.3 eV per cell. For the volume, the calculation gives 16.2 A^3/atom. The density comes out at 11.3 Mg/m³. For the energy relative to the lowest polymorph listed for this composition, the calculation gives 0.017 eV/atom.

```
12
Lattice="3.030 0.000 0.000 1.515 5.699 0.000 1.515 0.000 11.239" Properties=species:S:1:pos:R:3 pbc="T T T"
H 3.030 0.000 10.202
H 2.272 2.850 4.583
H 2.272 2.850 6.656
H 1.515 0.000 1.037
Zr 3.787 1.341 5.619
Zr 3.787 4.358 5.619
Zr 3.030 1.508 0.000
Zr 1.515 4.191 0.000
U 3.030 0.000 2.849
U 3.787 2.850 2.770
U 3.787 2.850 8.469
U 1.515 0.000 8.390
```


# 17
Computed, not measured: a geometry-optimized InCu3Pb structure at the PBE-GGA level of DFT.

Calculated values
As for the space-group type: Pm-3m, No. 221. The calculation puts the calculated formation energy at 308 kJ/mol of formula units. As for the total DFT energy (no corrections): -15.5 eV per cell. For the volume, the calculation gives 23.0 A^3/atom. The density comes out at 7.4 Mg/m³. For the energy relative to the lowest polymorph listed for this composition, the calculation gives 0.000 eV/atom.

```
5
Lattice="4.866 0.000 0.000 0.000 4.866 0.000 0.000 0.000 4.866" Properties=species:S:1:pos:R:3 pbc="T T T"
Cu 0.000 2.433 0.000
Cu 2.433 0.000 0.000
Cu 0.000 0.000 2.433
Pb 2.433 2.433 2.433
In 0.000 0.000 0.000
```


# 18
Computed, not measured: a geometry-optimized MgZr2Cl structure at the PBE-GGA level of DFT.

Calculated values
As for the space-group type: Fm-3m, No. 225. As for the total DFT energy (no corrections): -19.7 eV per cell. For the volume, the calculation gives 21.3 A^3/atom. The density comes out at 4.7 Mg/m³. For the energy relative to the lowest polymorph listed for this composition, the calculation gives 0.709 eV/atom.

```
4
Lattice="-4.352 -2.015 1.186 -1.661 0.266 4.645 -3.851 2.899 1.084" Properties=species:S:1:pos:R:3 pbc="T T T"
Cl -4.932 0.575 3.458
Zr -2.466 0.287 1.729
Zr -7.398 0.862 5.187
Mg 0.000 0.000 0.000
```


# 19
Computed, not measured: a geometry-optimized RePt4Rh2 structure at the PBE-GGA level of DFT.

Calculated values
As for the space-group type: Imma, No. 74. The calculation puts the calculated formation energy at 350 kJ/mol of formula units. As for the total DFT energy (no corrections): -95.4 eV per cell. For the volume, the calculation gives 18.0 A^3/atom. The density comes out at 15.4 Mg/m³. For the energy relative to the lowest polymorph listed for this composition, the calculation gives 0.350 eV/atom.

```
14
Lattice="9.488 0.000 0.000 4.744 5.609 0.728 4.744 2.514 5.066" Properties=species:S:1:pos:R:3 pbc="T T T"
Rh 4.744 0.000 0.000
Rh 14.233 4.904 1.862
Rh 9.488 4.061 2.897
Rh 4.744 3.218 3.932
Re 2.372 2.804 0.364
Re 7.116 2.804 0.364
Pt 9.488 1.895 1.351
Pt 7.277 3.366 4.038
Pt 4.744 2.167 1.545
Pt 7.277 4.757 1.757
Pt 11.700 3.366 4.038
Pt 14.233 5.955 4.249
Pt 11.700 4.757 1.757
Pt 9.488 6.227 4.443
```


# 20
Computed, not measured: a geometry-optimized Zr2TaAu structure at the PBE-GGA level of DFT.

Calculated values
As for the space-group type: Pmm2, No. 25. The calculation puts the calculated formation energy at -31 kJ/mol of formula units. As for the total DFT energy (no corrections): -32.5 eV per cell. For the volume, the calculation gives 20.1 A^3/atom. The density comes out at 11.6 Mg/m³. For the energy relative to the lowest polymorph listed for this composition, the calculation gives 0.159 eV/atom.

```
4
Lattice="-1.019 2.398 -1.830 -3.524 -0.339 1.518 1.616 4.279 4.707" Properties=species:S:1:pos:R:3 pbc="T T T"
Ta -1.069 4.215 3.348
Zr 1.596 4.228 4.650
Zr -1.850 2.146 1.072
Au 0.818 2.167 2.384
```